Entry 1:
# TlZn2Ni

A PBEsol-optimized structure of TlZn2Ni (SCAN, Alexandria via LeMat-Bulk).

Lattice parameters (Å, degrees): 3.869 3.869 4.042 90.00 90.00 90.00
Space group P4/mmm (No. 123)
Asymmetric unit:
Tl 0.000 0.000 0.000 [1 per cell]
Zn 0.000 0.500 0.500 [2 per cell]
Ni 0.500 0.500 0.000 [1 per cell]

final energy	-114.61	eV per formula unit
formation enthalpy at 0 K	0.238	eV/atom
polymorph energy (0 for the lowest one)	19.4	meV per atom

Entry 2:
# TlZn2Ni

A PBEsol-optimized structure of TlZn2Ni (SCAN, Alexandria via LeMat-Bulk).

Lattice parameters (Å, degrees): 3.937 3.937 7.809 90.00 90.00 90.00
Space group I-4m2 (No. 119)
Asymmetric unit:
Tl 0.000 0.000 0.000 [2 per cell]
Zn 0.000 0.000 0.500 [2 per cell]
Zn 0.000 0.500 0.250 [2 per cell]
Ni 0.000 0.500 0.750 [2 per cell]

final energy	-114.69	eV per formula unit
formation enthalpy at 0 K	0.218	eV/atom
polymorph energy (0 for the lowest one)	0.0	meV per atom